(1)
VASP calculation (PBE-GGA) on a relaxed Li2SiCl crystal.

Summary:
E above lowest polymorph = 0.000 eV per atom
spin magnetization = 0.0 μB/f.u.
energy = -0.253 Ry/atom
formation energy from raw total energies = -0.66 eV per atom

Cell lengths 3.2418, 3.2418, 7.7493 Å; angles 101.67, 101.67, 57.83 degrees
With the nearest neighbours (Å) after each atom.
Element x y z (fractional)
Li1 0.2361 0.2361 0.2071  3 Cl 2.42-2.44
Li2 0.7639 0.7639 0.7929  3 Cl 2.42-2.44
Si1 0.0000 0.0000 0.5000  6 Li 2.88-2.89, 2 Si 3.13
Cl1 0.5000 0.5000 0.0000  6 Li 2.42-2.44

(2)
VASP calculation (PBE-GGA) on a relaxed Tm8Ir2Pd crystal.

Summary:
E above lowest polymorph = 0.000 eV per atom
spin magnetization = 0.0 μB/f.u.
energy = -0.434 Ry/atom
DFT formation energy = -572.3 meV per atom

Cell lengths 8.9347, 8.9347, 6.8309 Å; angles 106.75, 106.75, 31.27 degrees
With the nearest neighbours (Å) after each atom.
Element x y z (fractional)
Tm1 0.0320 0.0320 0.2829  1 Ir 2.86, 2 Pd 2.96
Tm2 0.2038 0.2038 0.8136  3 Ir 2.78-3.09
Tm3 0.3303 0.3303 0.5358  3 Ir 2.81-3.05, 1 Pd 3.00
Tm4 0.4029 0.4029 0.0348  2 Ir 3.06, 1 Pd 3.12, 6 Tm 3.26-3.37
Tm5 0.5971 0.5971 0.9652  2 Ir 3.06, 1 Pd 3.12, 6 Tm 3.26-3.37
Tm6 0.6697 0.6697 0.4642  3 Ir 2.81-3.05, 1 Pd 3.00
Tm7 0.7962 0.7962 0.1864  3 Ir 2.78-3.09
Tm8 0.9680 0.9680 0.7171  1 Ir 2.86, 2 Pd 2.96
Ir1 0.1864 0.1864 0.2051  9 Tm 2.78-3.09
Ir2 0.8136 0.8136 0.7949  9 Tm 2.78-3.09
Pd1 0.5000 0.5000 0.5000  8 Tm 2.96-3.12

(3)
VASP calculation (PBE-GGA) on a relaxed NbHAu2 crystal.

Summary:
E above lowest polymorph = 0.000 eV per atom
spin magnetization = 0.0 μB/f.u.
energy = -0.335 Ry/atom

Cell lengths 5.4429, 5.4429, 5.4429 Å; angles 113.15, 113.15, 102.35 degrees
With the nearest neighbours (Å) after each atom.
Element x y z (fractional)
Nb1 0.0000 0.0000 0.0000  8 Au 2.77-3.08
Nb2 0.7500 0.2500 0.5000  8 Au 2.77-3.08
H1 0.2500 0.7500 0.5000  4 Au 1.92
H2 0.5000 0.5000 0.0000  4 Au 1.92
Au1 0.2363 0.6250 0.1113  2 H 1.92
Au2 0.3750 0.4863 0.6113  2 H 1.92
Au3 0.5137 0.1250 0.8887  2 H 1.92
Au4 0.8750 0.7637 0.3887  2 H 1.92

(4)
VASP calculation (PBE-GGA) on a relaxed Cs2Hg15I2 crystal.

Summary:
spin magnetization = 0.0 μB/f.u.
energy = -0.053 Ry/atom
formation energy from raw total energies = -0.24 eV per atom

Cell lengths 8.8874, 8.8874, 8.8874 Å; angles 84.83, 84.83, 84.83 degrees
With the nearest neighbours (Å) after each atom.
Element x y z (fractional)
Cs1 0.1577 0.1577 0.1577  1 I 3.71
Cs2 0.8423 0.8423 0.8423  1 I 3.71
Hg1 0.0000 0.5000 0.5000  8 Hg 3.31-3.51, 2 I 3.55
Hg2 0.1529 0.1529 0.6645  8 Hg 3.40-3.66, 1 I 3.66
Hg3 0.1529 0.6645 0.1529  8 Hg 3.40-3.66, 1 I 3.66
Hg4 0.2130 0.5000 0.7870  8 Hg 3.31-3.66
Hg5 0.2130 0.7870 0.5000  8 Hg 3.31-3.66
Hg6 0.3355 0.8471 0.8471  8 Hg 3.40-3.66, 1 I 3.66
Hg7 0.5000 0.0000 0.5000  8 Hg 3.31-3.51, 2 I 3.55
Hg8 0.5000 0.2130 0.7870  8 Hg 3.31-3.66
Hg9 0.5000 0.5000 0.0000  8 Hg 3.31-3.51, 2 I 3.55
Hg10 0.5000 0.7870 0.2130  8 Hg 3.31-3.66
Hg11 0.6645 0.1529 0.1529  8 Hg 3.40-3.66, 1 I 3.66
Hg12 0.7870 0.2130 0.5000  8 Hg 3.31-3.66
Hg13 0.7870 0.5000 0.2130  8 Hg 3.31-3.66
Hg14 0.8471 0.3355 0.8471  8 Hg 3.40-3.66, 1 I 3.66
Hg15 0.8471 0.8471 0.3355  8 Hg 3.40-3.66, 1 I 3.66
I1 0.3796 0.3796 0.3796  6 Hg 3.55-3.66, 1 Cs 3.71
I2 0.6204 0.6204 0.6204  6 Hg 3.55-3.66, 1 Cs 3.71

(5)
VASP calculation (PBE-GGA) on a relaxed CoRe4Rh crystal.

Summary:
spin magnetization = 0.9 μB/f.u.
energy = -0.747 Ry/atom
DFT formation energy = 545.4 meV per atom

Cell lengths 5.1007, 5.1007, 5.1007 Å; angles 60.00, 60.00, 60.00 degrees
With the nearest neighbours (Å) after each atom.
Element x y z (fractional)
Co1 0.0000 0.0000 0.0000  12 Re 2.99, 4 Rh 3.12
Re1 0.1240 0.6253 0.6253  6 Re 2.54-2.56
Re2 0.6253 0.1240 0.6253  6 Re 2.54-2.56
Re3 0.6253 0.6253 0.1240  6 Re 2.54-2.56
Re4 0.6253 0.6253 0.6253  6 Re 2.54-2.56
Rh1 0.2500 0.2500 0.2500  12 Re 2.99, 4 Co 3.12

(6)
VASP calculation (PBE-GGA) on a relaxed CsRb4Ca2 crystal.

Summary:
spin magnetization = 0.0 μB/f.u.
energy = -0.063 Ry/atom
DFT formation energy = 392.9 meV per atom

Cell lengths 12.1342, 12.1342, 12.1342 Å; angles 141.70, 141.70, 55.29 degrees
With the nearest neighbours (Å) after each atom.
Element x y z (fractional)
Cs1 0.0000 0.0000 0.0000  4 Rb 3.98
Rb1 0.0000 0.5000 0.5000  2 Cs 3.98, 4 Ca 4.39
Rb2 0.2129 0.2129 0.0000  1 Ca 4.31, 1 Cs 4.58
Rb3 0.5000 0.0000 0.5000  2 Cs 3.98, 4 Ca 4.39
Rb4 0.7871 0.7871 0.0000  1 Ca 4.31, 1 Cs 4.58
Ca1 0.4134 0.4134 0.0000  1 Ca 3.72
Ca2 0.5866 0.5866 0.0000  1 Ca 3.72

(7)
VASP calculation (PBE-GGA) on a relaxed Sr2NiSb crystal.

Summary:
spin magnetization = 0.2 μB/f.u.
energy = -0.258 Ry/atom
formation energy from raw total energies = -0.19 eV per atom

Cell lengths 6.2759, 6.2759, 6.2759 Å; angles 136.78, 136.78, 62.78 degrees
With the nearest neighbours (Å) after each atom.
Element x y z (fractional)
Sr1 0.0000 0.0000 0.0000  4 Sb 3.27, 4 Ni 3.54, 4 Sr 3.54
Sr2 0.7500 0.2500 0.5000  4 Ni 3.27, 4 Sb 3.54, 4 Sr 3.54
Ni1 0.2500 0.7500 0.5000  8 Sr 3.27-3.54, 4 Sb 3.54
Sb1 0.5000 0.5000 0.0000  8 Sr 3.27-3.54, 4 Ni 3.54

(8)
VASP calculation (PBE-GGA) on a relaxed LaCo2Au crystal.

Summary:
spin magnetization = 2.6 μB/f.u.
energy = -0.426 Ry/atom
DFT formation energy = -186.5 meV per atom

Cell lengths 5.7992, 5.7992, 5.7992 Å; angles 41.97, 41.97, 41.97 degrees
With the nearest neighbours (Å) after each atom.
Element x y z (fractional)
La1 0.0000 0.0000 0.0000  7 Co 3.15-3.24, 4 Au 3.16-3.22
Co1 0.2048 0.2048 0.2048  3 Co 2.40, 3 Au 2.67
Co2 0.5326 0.5326 0.5326  3 Co 2.40, 3 Au 2.64
Au1 0.7969 0.7969 0.7969  6 Co 2.64-2.67

(9)
VASP calculation (PBE-GGA) on a relaxed Ba2ZnCr crystal.

Summary:
spin magnetization = 4.5 μB/f.u.
energy = -0.232 Ry/atom
DFT formation energy = 526.1 meV per atom

Cell lengths 8.9397, 8.9397, 8.9397 Å; angles 30.96, 30.96, 30.96 degrees
With the nearest neighbours (Å) after each atom.
Element x y z (fractional)
Ba1 0.2495 0.2495 0.2495  3 Zn 3.47, 3 Cr 3.49
Ba2 0.7505 0.7505 0.7505  3 Zn 3.47, 3 Cr 3.49
Zn1 0.5000 0.5000 0.5000  6 Ba 3.47
Cr1 0.0000 0.0000 0.0000  6 Ba 3.49

(10)
VASP calculation (PBE-GGA) on a relaxed La3Pr7Nd2 crystal.

Summary:
spin magnetization = 0.0 μB/f.u.
energy = -0.349 Ry/atom
DFT formation energy = 64.4 meV per atom

Cell lengths 6.6258, 3.6486, 18.2441 Å; angles 90.00, 96.30, 90.00 degrees
With the nearest neighbours (Å) after each atom.
Element x y z (fractional)
La1 0.0000 0.0000 0.0000  2 La 3.65, 10 Pr 3.72-3.78
La2 0.0458 0.5000 0.6615  2 La 3.65, 4 Nd 3.77-3.80, 7 Pr 3.78-3.82
La3 0.9542 0.5000 0.3385  2 La 3.65, 4 Nd 3.77-3.80, 7 Pr 3.78-3.82
Pr1 0.2285 0.5000 0.1671  7 Pr 3.65-3.80, 2 Nd 3.65, 3 La 3.73-3.79
Pr2 0.2446 0.0000 0.5000  2 Pr 3.24-3.38, 2 Nd 3.52
Pr3 0.2742 0.0000 0.8325  8 Pr 3.65-3.80, 1 Nd 3.66, 3 La 3.72-3.78
Pr4 0.5000 0.5000 0.0000  8 Pr 3.65-3.73, 4 La 3.78
Pr5 0.7258 0.0000 0.1675  8 Pr 3.65-3.80, 1 Nd 3.66, 3 La 3.72-3.78
Pr6 0.7554 0.0000 0.5000  2 Pr 3.24-3.38, 2 Nd 3.52
Pr7 0.7715 0.5000 0.8329  7 Pr 3.65-3.80, 2 Nd 3.65, 3 La 3.73-3.79
Nd1 0.4484 0.0000 0.3300  5 Pr 3.52-3.66, 2 Nd 3.65, 4 La 3.77-3.80
Nd2 0.5516 0.0000 0.6700  5 Pr 3.52-3.66, 2 Nd 3.65, 4 La 3.77-3.80

(11)
VASP calculation (PBE-GGA) on a relaxed Cs3Pb2O4 crystal.

Summary:
E above lowest polymorph = 0.021 eV per atom
spin magnetization = 0.0 μB/f.u.
energy = -0.325 Ry/atom
formation energy from raw total energies = -1.11 eV per atom

Cell lengths 8.4841, 8.4841, 6.8274 Å; angles 101.35, 101.35, 94.57 degrees
With the nearest neighbours (Å) after each atom.
Element x y z (fractional)
Cs1 0.1151 0.8849 0.7500  6 O 3.11-3.27
Cs2 0.2489 0.4987 0.4601  3 O 2.93-3.27
Cs3 0.4987 0.2489 0.9601  3 O 2.93-3.27
Cs4 0.5013 0.7511 0.0399  3 O 2.93-3.27
Cs5 0.7511 0.5013 0.5399  3 O 2.93-3.27
Cs6 0.8849 0.1151 0.2500  6 O 3.11-3.27
Pb1 0.0474 0.3105 0.8848  3 O 2.19-2.43
Pb2 0.3105 0.0474 0.3848  3 O 2.19-2.43
Pb3 0.6895 0.9526 0.6152  3 O 2.19-2.43
Pb4 0.9526 0.6895 0.1152  3 O 2.19-2.43
O1 0.1312 0.5659 0.9086  2 Pb 2.19-2.43
O2 0.2024 0.2115 0.1149  1 Pb 2.19
O3 0.2115 0.2024 0.6149  1 Pb 2.19
O4 0.4341 0.8688 0.5914  2 Pb 2.19-2.43
O5 0.5659 0.1312 0.4086  2 Pb 2.19-2.43
O6 0.7885 0.7976 0.3851  1 Pb 2.19
O7 0.7976 0.7885 0.8851  1 Pb 2.19
O8 0.8688 0.4341 0.0914  2 Pb 2.19-2.43

(12)
VASP calculation (PBE-GGA) on a relaxed DyHoMgSc crystal.

Summary:
E above lowest polymorph = 0.033 eV per atom
spin magnetization = 0.0 μB/f.u.
energy = -0.312 Ry/atom
DFT formation energy = 28.2 meV per atom

Cell lengths 5.3657, 5.3657, 5.3657 Å; angles 60.00, 60.00, 60.00 degrees
With the nearest neighbours (Å) after each atom.
Element x y z (fractional)
Dy1 0.0000 0.0000 0.0000  4 Mg 3.29, 4 Sc 3.29
Ho1 0.5000 0.5000 0.5000  4 Mg 3.29, 4 Sc 3.29
Mg1 0.2500 0.2500 0.2500  4 Ho 3.29, 4 Dy 3.29
Sc1 0.7500 0.7500 0.7500  4 Dy 3.29, 4 Ho 3.29